# RbYMnCl6

Crystalline RbYMnCl6 at its relaxed geometry (PBE-GGA, Alexandria).

a = 6.500 Å, b = 6.500 Å, c = 15.036 Å
α = 90.00°, β = 90.00°, γ = 120.00°
Site moments in Bohr magnetons follow the coordinates.
Element x y z (fractional)
Cl (0.968, 0.350, 0.155)  0.00
Cl (0.382, 0.032, 0.155)  0.00
Cl (0.350, 0.968, 0.655)  0.00
Cl (0.618, 0.968, 0.845)  0.00
Cl (0.382, 0.350, 0.345)  0.00
Cl (0.650, 0.618, 0.155)  0.00
Cl (0.032, 0.382, 0.655)  0.00
Cl (0.350, 0.382, 0.845)  0.00
Cl (0.032, 0.650, 0.845)  0.00
Cl (0.650, 0.032, 0.345)  0.00
Cl (0.618, 0.650, 0.655)  0.00
Cl (0.968, 0.618, 0.345)  0.00
Mn (0.667, 0.333, 0.250)  0.92
Mn (0.333, 0.667, 0.750)  0.92
Rb (0.000, 0.000, 0.000)  0.00
Rb (0.000, 0.000, 0.500)  0.00
Y (0.333, 0.667, 0.250)  -0.01
Y (0.667, 0.333, 0.750)  -0.01

Values from the calculation:
Its space-group type is P-31c, No. 163. As for the theoretical density: 2.7 Mg/m³. For the calculated volume, the calculation gives 30.6 Å³/atom. The spin magnetization is 0.94 μB per formula unit. The value obtained for the raw formation energy is -1.58 eV/atom.


# RbMnZn2Cl8

Crystalline RbMnZn2Cl8 at its relaxed geometry (PBE-GGA, Alexandria).

a = 6.220 Å, b = 6.220 Å, c = 10.842 Å
α = 73.33°, β = 73.33°, γ = 60.00°
Site moments in Bohr magnetons follow the coordinates.
Element x y z (fractional)
Zn (0.264, 0.264, 0.207)  0.01
Zn (0.736, 0.736, 0.793)  0.01
Cl (0.649, 0.274, 0.138)  0.01
Cl (0.061, 0.351, 0.862)  0.01
Cl (0.274, 0.939, 0.138)  0.01
Cl (0.939, 0.649, 0.138)  0.01
Cl (0.192, 0.192, 0.425)  0.00
Cl (0.351, 0.726, 0.862)  0.01
Cl (0.726, 0.061, 0.862)  0.01
Cl (0.808, 0.808, 0.575)  0.00
Mn (0.000, 0.000, 0.000)  3.71
Rb (0.500, 0.500, 0.500)  0.00

Values from the calculation:
Its space-group type is R-3, No. 148. As for the theoretical density: 2.7 Mg/m³. For the calculated volume, the calculation gives 28.6 Å³/atom. The spin magnetization is 4.00 μB per formula unit. The value obtained for the raw formation energy is -1.18 eV/atom.


# RbMnZnCl6

Crystalline RbMnZnCl6 at its relaxed geometry (PBE-GGA, Alexandria).

a = 6.398 Å, b = 6.398 Å, c = 14.765 Å
α = 90.00°, β = 90.00°, γ = 120.00°
Site moments in Bohr magnetons follow the coordinates.
Element x y z (fractional)
Mn (0.667, 0.333, 0.250)  3.70
Mn (0.333, 0.667, 0.750)  3.70
Rb (0.000, 0.000, 0.500)  0.00
Rb (0.000, 0.000, 0.000)  0.00
Cl (0.628, 0.010, 0.344)  0.01
Cl (0.628, 0.619, 0.156)  0.01
Cl (0.381, 0.372, 0.344)  0.01
Cl (0.619, 0.990, 0.844)  0.01
Cl (0.381, 0.010, 0.156)  0.01
Cl (0.372, 0.990, 0.656)  0.01
Cl (0.010, 0.381, 0.656)  0.01
Cl (0.990, 0.372, 0.156)  0.01
Cl (0.010, 0.628, 0.844)  0.01
Cl (0.990, 0.619, 0.344)  0.01
Cl (0.619, 0.628, 0.656)  0.01
Cl (0.372, 0.381, 0.844)  0.01
Zn (0.667, 0.333, 0.750)  0.01
Zn (0.333, 0.667, 0.250)  0.01

Values from the calculation:
Its space-group type is P-31c, No. 163. As for the theoretical density: 2.7 Mg/m³. For the calculated volume, the calculation gives 29.1 Å³/atom. The spin magnetization is 4.00 μB per formula unit. The value obtained for the raw formation energy is -1.23 eV/atom.


# RbZr6MnCl14

Crystalline RbZr6MnCl14 at its relaxed geometry (PBE-GGA, Alexandria).

a = 9.955 Å, b = 9.955 Å, c = 11.989 Å
α = 90.00°, β = 90.00°, γ = 95.70°
Element x y z (fractional)
Rb (0.000, 0.000, 0.500)
Rb (0.500, 0.500, 0.000)
Zr (0.852, 0.852, 0.112)
Zr (0.308, 0.547, 0.618)
Zr (0.453, 0.692, 0.382)
Zr (0.547, 0.308, 0.618)
Zr (0.808, 0.047, 0.882)
Zr (0.953, 0.192, 0.118)
Zr (0.352, 0.352, 0.388)
Zr (0.047, 0.808, 0.882)
Zr (0.692, 0.453, 0.382)
Zr (0.192, 0.953, 0.118)
Zr (0.148, 0.148, 0.888)
Zr (0.648, 0.648, 0.612)
Mn (0.500, 0.500, 0.500)
Mn (0.000, 0.000, 0.000)
Cl (0.157, 0.157, 0.257)
Cl (0.962, 0.203, 0.750)
Cl (0.360, 0.117, 0.005)
Cl (0.657, 0.657, 0.243)
Cl (0.462, 0.703, 0.750)
Cl (0.297, 0.538, 0.250)
Cl (0.343, 0.343, 0.757)
Cl (0.749, 0.251, 0.500)
Cl (0.399, 0.899, 0.250)
Cl (0.251, 0.749, 0.500)
Cl (0.843, 0.843, 0.743)
Cl (0.601, 0.101, 0.750)
Cl (0.140, 0.383, 0.505)
Cl (0.797, 0.038, 0.250)
Cl (0.617, 0.860, 0.495)
Cl (0.703, 0.462, 0.750)
Cl (0.117, 0.360, 0.005)
Cl (0.883, 0.640, 0.995)
Cl (0.203, 0.962, 0.750)
Cl (0.860, 0.617, 0.495)
Cl (0.249, 0.751, 0.000)
Cl (0.538, 0.297, 0.250)
Cl (0.101, 0.601, 0.750)
Cl (0.751, 0.249, 0.000)
Cl (0.640, 0.883, 0.995)
Cl (0.383, 0.140, 0.505)
Cl (0.038, 0.797, 0.250)
Cl (0.899, 0.399, 0.250)

Values from the calculation:
Its space-group type is Cmce, No. 64. As for the theoretical density: 3.3 Mg/m³. For the calculated volume, the calculation gives 26.9 Å³/atom. The spin magnetization is 0.00 μB per formula unit. The value obtained for the raw formation energy is -1.66 eV/atom.


# MnRe2Cl

Crystalline MnRe2Cl at its relaxed geometry (PBE-GGA, Alexandria).

a = 3.314 Å, b = 2.798 Å, c = 6.776 Å
α = 90.00°, β = 90.00°, γ = 90.00°
Site moments in Bohr magnetons follow the coordinates.
Element x y z (fractional)
Re (0.000, 0.250, 0.558)  -0.14
Re (0.000, 0.250, 0.942)  -0.14
Cl (0.500, 0.250, 0.250)  -0.01
Mn (0.500, 0.750, 0.750)  1.26

Values from the calculation:
Its space-group type is Pmmm, No. 47. As for the theoretical density: 12.2 Mg/m³. For the calculated volume, the calculation gives 15.7 Å³/atom. The spin magnetization is 0.99 μB per formula unit. The value obtained for the raw formation energy is 0.52 eV/atom.


# MnRe2Cl

Crystalline MnRe2Cl at its relaxed geometry (PBE-GGA, Alexandria).

a = 4.317 Å, b = 4.317 Å, c = 4.317 Å
α = 114.06°, β = 114.06°, γ = 100.63°
Site moments in Bohr magnetons follow the coordinates.
Element x y z (fractional)
Cl (0.500, 0.500, 0.000)  0.04
Re (0.000, 0.000, 0.000)  -0.24
Re (0.250, 0.750, 0.500)  0.25
Mn (0.750, 0.250, 0.500)  3.35

Values from the calculation:
Its space-group type is I-4m2, No. 119. As for the theoretical density: 12.6 Mg/m³. For the calculated volume, the calculation gives 15.2 Å³/atom. The spin magnetization is 3.55 μB per formula unit. The value obtained for the raw formation energy is 1.01 eV/atom.


# MnRe2Cl

Crystalline MnRe2Cl at its relaxed geometry (PBE-GGA, Alexandria).

a = 2.984 Å, b = 2.984 Å, c = 7.430 Å
α = 90.00°, β = 90.00°, γ = 90.00°
Site moments in Bohr magnetons follow the coordinates.
Element x y z (fractional)
Cl (0.000, 0.000, 0.513)  -0.04
Mn (0.500, 0.500, 0.761)  -3.84
Re (0.500, 0.500, 0.210)  -0.06
Re (0.000, 0.000, 0.015)  -0.01

Values from the calculation:
Its space-group type is P4mm, No. 99. As for the theoretical density: 11.6 Mg/m³. For the calculated volume, the calculation gives 16.5 Å³/atom. The spin magnetization is 4.15 μB per formula unit. The value obtained for the raw formation energy is 0.33 eV/atom.


# Mn2Re2Cl

Crystalline Mn2Re2Cl at its relaxed geometry (PBE-GGA, Alexandria).

a = 3.601 Å, b = 3.601 Å, c = 6.703 Å
α = 74.42°, β = 74.42°, γ = 90.00°
Site moments in Bohr magnetons follow the coordinates.
Element x y z (fractional)
Cl (0.000, 0.000, 0.000)  -0.02
Re (0.375, 0.375, 0.250)  -0.18
Re (0.625, 0.625, 0.750)  -0.18
Mn (0.250, 0.750, 0.500)  0.59
Mn (0.750, 0.250, 0.500)  0.59

Values from the calculation:
Its space-group type is I4/mmm, No. 139. As for the theoretical density: 10.7 Mg/m³. For the calculated volume, the calculation gives 16.1 Å³/atom. The spin magnetization is 0.90 μB per formula unit. The value obtained for the raw formation energy is 0.77 eV/atom.


# MnRe2Cl

Crystalline MnRe2Cl at its relaxed geometry (PBE-GGA, Alexandria).

a = 4.416 Å, b = 4.416 Å, c = 2.843 Å
α = 90.00°, β = 90.00°, γ = 90.00°
Site moments in Bohr magnetons follow the coordinates.
Element x y z (fractional)
Mn (0.000, 0.500, 0.500)  -2.01
Re (0.500, 0.500, 0.000)  0.28
Re (0.000, 0.000, 0.000)  0.28
Cl (0.500, 0.000, 0.500)  -0.01

Values from the calculation:
Its space-group type is P4/mmm, No. 123. As for the theoretical density: 13.9 Mg/m³. For the calculated volume, the calculation gives 13.9 Å³/atom. The spin magnetization is 1.47 μB per formula unit. The value obtained for the raw formation energy is 0.99 eV/atom.


# MnRe2Cl

Crystalline MnRe2Cl at its relaxed geometry (PBE-GGA, Alexandria).

a = 2.986 Å, b = 3.010 Å, c = 7.516 Å
α = 89.94°, β = 90.00°, γ = 90.00°
Site moments in Bohr magnetons follow the coordinates.
Element x y z (fractional)
Cl (0.000, 0.499, 0.497)  -0.02
Re (0.500, 0.500, 0.211)  -0.12
Re (0.000, 0.000, 0.016)  -0.01
Mn (0.500, 0.501, 0.776)  -3.79

Values from the calculation:
Its space-group type is Pmm2, No. 25. As for the theoretical density: 11.4 Mg/m³. For the calculated volume, the calculation gives 16.9 Å³/atom. The spin magnetization is 4.15 μB per formula unit. The value obtained for the raw formation energy is 0.20 eV/atom.


# MnRe2Cl

Crystalline MnRe2Cl at its relaxed geometry (PBE-GGA, Alexandria).

a = 2.776 Å, b = 2.776 Å, c = 8.739 Å
α = 90.00°, β = 90.00°, γ = 117.48°
Site moments in Bohr magnetons follow the coordinates.
Element x y z (fractional)
Mn (0.500, 0.500, 0.750)  2.29
Cl (0.500, 0.500, 0.250)  -0.02
Re (0.000, 0.000, 0.515)  -0.22
Re (0.000, 0.000, 0.985)  -0.22

Values from the calculation:
Its space-group type is Cmmm, No. 65. As for the theoretical density: 12.9 Mg/m³. For the calculated volume, the calculation gives 14.9 Å³/atom. The spin magnetization is 1.85 μB per formula unit. The value obtained for the raw formation energy is 0.68 eV/atom.


# Mn2Re2Cl

Crystalline Mn2Re2Cl at its relaxed geometry (PBE-GGA, Alexandria).

a = 7.235 Å, b = 7.235 Å, c = 2.786 Å
α = 90.00°, β = 90.00°, γ = 90.00°
Site moments in Bohr magnetons follow the coordinates.
Element x y z (fractional)
Mn (0.636, 0.864, 0.500)  0.26
Mn (0.136, 0.636, 0.500)  0.30
Mn (0.364, 0.136, 0.500)  0.26
Mn (0.864, 0.364, 0.500)  0.30
Re (0.853, 0.647, 0.000)  -0.10
Re (0.647, 0.147, 0.000)  -0.10
Re (0.147, 0.353, 0.000)  -0.10
Re (0.353, 0.853, 0.000)  -0.10
Cl (0.000, 0.000, 0.000)  0.01
Cl (0.500, 0.500, 0.000)  0.01

Values from the calculation:
Its space-group type is P4/mbm, No. 127. As for the theoretical density: 11.8 Mg/m³. For the calculated volume, the calculation gives 14.6 Å³/atom. The spin magnetization is 0.39 μB per formula unit. The value obtained for the raw formation energy is 0.56 eV/atom.


# MnRe2Cl

Crystalline MnRe2Cl at its relaxed geometry (PBE-GGA, Alexandria).

a = 5.737 Å, b = 3.549 Å, c = 3.549 Å
α = 90.00°, β = 90.00°, γ = 90.00°
Site moments in Bohr magnetons follow the coordinates.
Element x y z (fractional)
Re (0.000, 0.000, 0.000)  -0.35
Re (0.000, 0.500, 0.500)  -0.35
Cl (0.500, 0.500, 0.000)  0.04
Mn (0.500, 0.000, 0.500)  4.08

Values from the calculation:
Its space-group type is P4/mmm, No. 123. As for the theoretical density: 10.6 Mg/m³. For the calculated volume, the calculation gives 18.1 Å³/atom. The spin magnetization is 3.47 μB per formula unit. The value obtained for the raw formation energy is 1.09 eV/atom.


# MnRe2Cl

Crystalline MnRe2Cl at its relaxed geometry (PBE-GGA, Alexandria).

a = 2.816 Å, b = 2.816 Å, c = 9.015 Å
α = 90.00°, β = 90.00°, γ = 114.93°
Site moments in Bohr magnetons follow the coordinates.
Element x y z (fractional)
Re (0.500, 0.500, 0.218)  0.01
Re (0.000, 0.000, 0.987)  -0.09
Mn (0.500, 0.500, 0.748)  3.48
Cl (0.000, 0.000, 0.547)  0.12

Values from the calculation:
Its space-group type is Cmm2, No. 35. As for the theoretical density: 11.9 Mg/m³. For the calculated volume, the calculation gives 16.2 Å³/atom. The spin magnetization is 3.68 μB per formula unit. The value obtained for the raw formation energy is 0.44 eV/atom.


# MnRe2Cl

Crystalline MnRe2Cl at its relaxed geometry (PBE-GGA, Alexandria).

a = 4.298 Å, b = 4.298 Å, c = 4.298 Å
α = 60.00°, β = 60.00°, γ = 60.00°
Site moments in Bohr magnetons follow the coordinates.
Element x y z (fractional)
Re (0.750, 0.750, 0.750)  -0.21
Re (0.250, 0.250, 0.250)  -0.21
Cl (0.000, 0.000, 0.000)  0.03
Mn (0.500, 0.500, 0.500)  2.19

Values from the calculation:
Its space-group type is Fm-3m, No. 225. As for the theoretical density: 13.7 Mg/m³. For the calculated volume, the calculation gives 14.0 Å³/atom. The spin magnetization is 1.88 μB per formula unit. The value obtained for the raw formation energy is 0.99 eV/atom.


# MnReCl3

Crystalline MnReCl3 at its relaxed geometry (PBE-GGA, Alexandria).

a = 5.026 Å, b = 5.026 Å, c = 5.026 Å
α = 90.00°, β = 90.00°, γ = 90.00°
Site moments in Bohr magnetons follow the coordinates.
Element x y z (fractional)
Re (0.500, 0.500, 0.500)  4.53
Cl (0.000, 0.000, 0.500)  0.10
Cl (0.500, 0.000, 0.000)  0.15
Cl (0.000, 0.500, 0.000)  0.17
Mn (0.000, 0.000, 0.000)  4.46

Values from the calculation:
Its space-group type is Pm-3m, No. 221. As for the theoretical density: 4.5 Mg/m³. For the calculated volume, the calculation gives 25.4 Å³/atom. The spin magnetization is 11.00 μB per formula unit. The value obtained for the raw formation energy is 0.48 eV/atom.


# MnReCl3

Crystalline MnReCl3 at its relaxed geometry (PBE-GGA, Alexandria).

a = 4.794 Å, b = 4.794 Å, c = 4.794 Å
α = 90.00°, β = 90.00°, γ = 90.00°
Site moments in Bohr magnetons follow the coordinates.
Element x y z (fractional)
Cl (0.000, 0.500, 0.000)  0.04
Cl (0.500, 0.000, 0.000)  0.03
Cl (0.000, 0.000, 0.500)  0.05
Mn (0.500, 0.500, 0.500)  4.69
Re (0.000, 0.000, 0.000)  0.47

Values from the calculation:
Its space-group type is Pm-3m, No. 221. As for the theoretical density: 5.2 Mg/m³. For the calculated volume, the calculation gives 22.0 Å³/atom. The spin magnetization is 6.15 μB per formula unit. The value obtained for the raw formation energy is 0.56 eV/atom.


# MnRe2Cl

Crystalline MnRe2Cl at its relaxed geometry (PBE-GGA, Alexandria).

a = 6.178 Å, b = 6.178 Å, c = 6.178 Å
α = 146.51°, β = 146.51°, γ = 48.09°
Site moments in Bohr magnetons follow the coordinates.
Element x y z (fractional)
Cl (0.250, 0.750, 0.500)  0.04
Re (0.000, 0.000, 0.000)  -0.22
Re (0.500, 0.500, 0.000)  -0.22
Mn (0.750, 0.250, 0.500)  4.05

Values from the calculation:
Its space-group type is I4/mmm, No. 139. As for the theoretical density: 10.7 Mg/m³. For the calculated volume, the calculation gives 17.9 Å³/atom. The spin magnetization is 3.73 μB per formula unit. The value obtained for the raw formation energy is 1.09 eV/atom.


# MnRe2Cl

Crystalline MnRe2Cl at its relaxed geometry (PBE-GGA, Alexandria).

a = 8.807 Å, b = 8.807 Å, c = 8.807 Å
α = 18.90°, β = 18.90°, γ = 18.90°
Site moments in Bohr magnetons follow the coordinates.
Element x y z (fractional)
Mn (0.753, 0.753, 0.753)  3.47
Cl (0.487, 0.487, 0.487)  0.10
Re (0.003, 0.003, 0.003)  0.08
Re (0.258, 0.258, 0.258)  0.03

Values from the calculation:
Its space-group type is R3m, No. 160. As for the theoretical density: 12.3 Mg/m³. For the calculated volume, the calculation gives 15.7 Å³/atom. The spin magnetization is 3.83 μB per formula unit. The value obtained for the raw formation energy is 0.25 eV/atom.


# MnRe2Cl

Crystalline MnRe2Cl at its relaxed geometry (PBE-GGA, Alexandria).

a = 5.358 Å, b = 5.358 Å, c = 6.441 Å
α = 65.42°, β = 65.42°, γ = 90.00°
Element x y z (fractional)
Re (0.875, 0.891, 0.750)
Re (0.109, 0.625, 0.250)
Re (0.375, 0.359, 0.750)
Re (0.641, 0.125, 0.250)
Cl (0.250, 0.750, 0.500)
Cl (0.500, 0.500, 0.000)
Mn (0.000, 0.000, 0.000)
Mn (0.750, 0.250, 0.500)

Values from the calculation:
Its space-group type is I-42d, No. 122. As for the theoretical density: 10.3 Mg/m³. For the calculated volume, the calculation gives 18.7 Å³/atom. The spin magnetization is 0.00 μB per formula unit. The value obtained for the raw formation energy is 1.36 eV/atom.